PrCoPO: optimized geometry, PBE+U.

Computed properties:
- M_tot (Bohr magnetons per cell) = 4.1
- volume (Å³ per cell) = 128
- energy above the most stable polymorph in this dataset (meV/atom) = 316.0

```
data_PrCoPO
_chemical_formula_sum 'Pr2 Co2 P2 O2'
_symmetry_space_group_name_H-M 'P 1'
_symmetry_Int_Tables_number 1
_cell_length_a 4.411
_cell_length_b 4.127
_cell_length_c 7.016
_cell_angle_alpha 90.00
_cell_angle_beta 90.00
_cell_angle_gamma 90.00
loop_
_symmetry_equiv_pos_as_xyz
'x,y,z'
loop_
_atom_site_label
_atom_site_type_symbol
_atom_site_fract_x
_atom_site_fract_y
_atom_site_fract_z
Pr1 Pr 0.500 0.252 0.597
O1 O 0.500 0.248 0.931
P1 P 0.000 0.252 0.276
O2 O 0.500 0.752 0.431
Co1 Co 0.000 0.248 0.950
Co2 Co 0.000 0.752 0.450
P2 P 0.000 0.748 0.776
Pr2 Pr 0.500 0.748 0.097
```